Entry 1:
VASP calculation (SCAN) on InCoBr2 at its PBEsol-relaxed geometry.

The structure in CIF format:
```
data_InCoBr2
_chemical_formula_sum 'In2 Co2 Br4'
_space_group_name_H-M_alt 'C 1 2/m 1'
_space_group_IT_number 12
_space_group_name_Hall '-C 2y'
_cell_length_a 7.2473
_cell_length_b 7.8559
_cell_length_c 3.5116
_cell_angle_alpha 90.00
_cell_angle_beta 109.00
_cell_angle_gamma 90.00
loop_
_atom_site_label
_atom_site_type_symbol
_atom_site_fract_x
_atom_site_fract_y
_atom_site_fract_z
In1 In 0.0000 0.0000 0.0000
Co1 Co 0.0000 0.5000 0.0000
Br1 Br 0.2500 0.2500 0.5000
```

Calculated values
energy above the most stable polymorph in this dataset: 1.151 eV per formula unit
raw formation energy: 0.067 eV/atom
raw total energy: -178.68 eV per cell

***

Entry 2:
VASP calculation (SCAN) on InCoBr3 at its PBEsol-relaxed geometry.

The structure in CIF format:
```
data_InCoBr3
_chemical_formula_sum 'In1 Co1 Br3'
_space_group_name_H-M_alt 'P m -3 m'
_space_group_IT_number 221
_space_group_name_Hall '-P 4 2 3'
_cell_length_a 4.9415
_cell_length_b 4.9415
_cell_length_c 4.9415
_cell_angle_alpha 90.00
_cell_angle_beta 90.00
_cell_angle_gamma 90.00
loop_
_atom_site_label
_atom_site_type_symbol
_atom_site_fract_x
_atom_site_fract_y
_atom_site_fract_z
In1 In 0.0000 0.0000 0.0000
Co1 Co 0.5000 0.5000 0.5000
Br1 Br 0.0000 0.5000 0.5000
```

Calculated values
raw formation energy: -0.465 eV/atom
raw total energy: -111.39 eV per cell

***

Entry 3:
VASP calculation (SCAN) on InCo3Br at its PBEsol-relaxed geometry.

The structure in CIF format:
```
data_InCo3Br
_chemical_formula_sum 'In1 Co3 Br1'
_space_group_name_H-M_alt 'P m -3 m'
_space_group_IT_number 221
_space_group_name_Hall '-P 4 2 3'
_cell_length_a 4.7165
_cell_length_b 4.7165
_cell_length_c 4.7165
_cell_angle_alpha 90.00
_cell_angle_beta 90.00
_cell_angle_gamma 90.00
loop_
_atom_site_label
_atom_site_type_symbol
_atom_site_fract_x
_atom_site_fract_y
_atom_site_fract_z
In1 In 0.0000 0.0000 0.0000
Co1 Co 0.0000 0.0000 0.5000
Br1 Br 0.5000 0.5000 0.5000
```

Calculated values
raw formation energy: 1.232 eV/atom
raw total energy: -98.60 eV per cell

***

Entry 4:
VASP calculation (SCAN) on In2CoBr at its PBEsol-relaxed geometry.

The structure in CIF format:
```
data_In2CoBr
_chemical_formula_sum 'In4 Co2 Br2'
_space_group_name_H-M_alt 'C 1 2/m 1'
_space_group_IT_number 12
_space_group_name_Hall '-C 2y'
_cell_length_a 7.3183
_cell_length_b 7.3157
_cell_length_c 3.0769
_cell_angle_alpha 90.00
_cell_angle_beta 90.16
_cell_angle_gamma 90.00
loop_
_atom_site_label
_atom_site_type_symbol
_atom_site_fract_x
_atom_site_fract_y
_atom_site_fract_z
In1 In 0.2500 0.2500 0.0000
Co1 Co 0.0000 0.0000 0.5000
Br1 Br 0.0000 0.5000 0.5000
```

Calculated values
energy above the most stable polymorph in this dataset: 0.559 eV per formula unit
raw formation energy: 0.234 eV/atom
raw total energy: -205.20 eV per cell

***

Entry 5:
VASP calculation (SCAN) on In2CoBr at its PBEsol-relaxed geometry.

The structure in CIF format:
```
data_In2CoBr
_chemical_formula_sum 'In4 Co2 Br2'
_space_group_name_H-M_alt 'I m m 2'
_space_group_IT_number 44
_space_group_name_Hall 'I 2 -2'
_cell_length_a 3.2790
_cell_length_b 3.3975
_cell_length_c 15.4704
_cell_angle_alpha 90.00
_cell_angle_beta 90.00
_cell_angle_gamma 90.00
loop_
_atom_site_label
_atom_site_type_symbol
_atom_site_fract_x
_atom_site_fract_y
_atom_site_fract_z
In1 In 0.0000 0.0000 0.0000
In2 In 0.0000 0.5000 0.1969
Co1 Co 0.0000 0.0000 0.5691
Br1 Br 0.0000 0.5000 0.8274
```

Calculated values
energy above the most stable polymorph in this dataset: 0.000 eV per formula unit
raw formation energy: 0.094 eV/atom
raw total energy: -206.32 eV per cell

***

Entry 6:
VASP calculation (SCAN) on InCoBr2 at its PBEsol-relaxed geometry.

The structure in CIF format:
```
data_InCoBr2
_chemical_formula_sum 'In2 Co2 Br4'
_space_group_name_H-M_alt 'C m m m'
_space_group_IT_number 65
_space_group_name_Hall '-C 2 2'
_cell_length_a 3.5467
_cell_length_b 6.2019
_cell_length_c 8.7540
_cell_angle_alpha 90.00
_cell_angle_beta 90.00
_cell_angle_gamma 90.00
loop_
_atom_site_label
_atom_site_type_symbol
_atom_site_fract_x
_atom_site_fract_y
_atom_site_fract_z
In1 In 0.0000 0.0000 0.0000
Co1 Co 0.0000 0.0000 0.5000
Br1 Br 0.0000 0.5000 0.3130
```

Calculated values
energy above the most stable polymorph in this dataset: 0.053 eV per formula unit
raw formation energy: -0.207 eV/atom
raw total energy: -180.88 eV per cell

***

Entry 7:
VASP calculation (SCAN) on InCoBr2 at its PBEsol-relaxed geometry.

The structure in CIF format:
```
data_InCoBr2
_chemical_formula_sum 'In1 Co1 Br2'
_space_group_name_H-M_alt 'P 1 m 1'
_space_group_IT_number 6
_space_group_name_Hall 'P -2y'
_cell_length_a 3.9267
_cell_length_b 3.4043
_cell_length_c 7.1791
_cell_angle_alpha 90.00
_cell_angle_beta 105.74
_cell_angle_gamma 90.00
loop_
_atom_site_label
_atom_site_type_symbol
_atom_site_fract_x
_atom_site_fract_y
_atom_site_fract_z
In1 In 0.0000 0.0000 0.0000
Co1 Co 0.4670 0.5000 0.9336
Br1 Br 0.3409 0.0000 0.6789
Br2 Br 0.6360 0.5000 0.2731
```

Calculated values
energy above the most stable polymorph in this dataset: 0.000 eV per formula unit
raw formation energy: -0.221 eV/atom
raw total energy: -90.49 eV per cell

***

Entry 8:
VASP calculation (SCAN) on In3CoBr at its PBEsol-relaxed geometry.

The structure in CIF format:
```
data_In3CoBr
_chemical_formula_sum 'In3 Co1 Br1'
_space_group_name_H-M_alt 'P m -3 m'
_space_group_IT_number 221
_space_group_name_Hall '-P 4 2 3'
_cell_length_a 4.9360
_cell_length_b 4.9360
_cell_length_c 4.9360
_cell_angle_alpha 90.00
_cell_angle_beta 90.00
_cell_angle_gamma 90.00
loop_
_atom_site_label
_atom_site_type_symbol
_atom_site_fract_x
_atom_site_fract_y
_atom_site_fract_z
In1 In 0.0000 0.0000 0.5000
Co1 Co 0.0000 0.0000 0.0000
Br1 Br 0.5000 0.5000 0.5000
```

Calculated values
raw formation energy: -0.185 eV/atom
raw total energy: -137.85 eV per cell

***

Entry 9:
VASP calculation (SCAN) on In2CoReBr at its PBEsol-relaxed geometry.

The structure in CIF format:
```
data_In2CoReBr
_chemical_formula_sum 'In2 Co1 Re1 Br1'
_space_group_name_H-M_alt 'P 4/m m m'
_space_group_IT_number 123
_space_group_name_Hall '-P 4 2'
_cell_length_a 5.2951
_cell_length_b 5.2951
_cell_length_c 4.6426
_cell_angle_alpha 90.00
_cell_angle_beta 90.00
_cell_angle_gamma 90.00
loop_
_atom_site_label
_atom_site_type_symbol
_atom_site_fract_x
_atom_site_fract_y
_atom_site_fract_z
In1 In 0.0000 0.5000 0.0000
Co1 Co 0.0000 0.0000 0.5000
Re1 Re 0.5000 0.5000 0.0000
Br1 Br 0.5000 0.5000 0.5000
```

Calculated values
raw formation energy: 1.097 eV/atom
raw total energy: -169.15 eV per cell

***

Entry 10:
VASP calculation (SCAN) on CoIrBr2 at its PBEsol-relaxed geometry.

The structure in CIF format:
```
data_CoIrBr2
_chemical_formula_sum 'Co2 Ir2 Br4'
_space_group_name_H-M_alt 'C m m 2'
_space_group_IT_number 35
_space_group_name_Hall 'C 2 -2'
_cell_length_a 3.7660
_cell_length_b 5.4536
_cell_length_c 7.7462
_cell_angle_alpha 90.00
_cell_angle_beta 90.00
_cell_angle_gamma 90.00
loop_
_atom_site_label
_atom_site_type_symbol
_atom_site_fract_x
_atom_site_fract_y
_atom_site_fract_z
Co1 Co 0.0000 0.0000 0.0000
Ir1 Ir 0.0000 0.5000 0.1675
Br1 Br 0.0000 0.0000 0.3972
Br2 Br 0.0000 0.5000 0.8002
```

Calculated values
energy above the most stable polymorph in this dataset: 0.000 eV per formula unit
raw formation energy: 0.489 eV/atom
raw total energy: -250.73 eV per cell

***

Entry 11:
VASP calculation (SCAN) on Co2IrBr at its PBEsol-relaxed geometry.

The structure in CIF format:
```
data_Co2IrBr
_chemical_formula_sum 'Co4 Ir2 Br2'
_space_group_name_H-M_alt 'I 4/m m m'
_space_group_IT_number 139
_space_group_name_Hall '-I 4 2'
_cell_length_a 3.9513
_cell_length_b 3.9513
_cell_length_c 6.8922
_cell_angle_alpha 90.00
_cell_angle_beta 90.00
_cell_angle_gamma 90.00
loop_
_atom_site_label
_atom_site_type_symbol
_atom_site_fract_x
_atom_site_fract_y
_atom_site_fract_z
Co1 Co 0.0000 0.5000 0.2500
Ir1 Ir 0.0000 0.0000 0.0000
Br1 Br 0.0000 0.0000 0.5000
```

Calculated values
energy above the most stable polymorph in this dataset: 0.668 eV per formula unit
raw formation energy: 1.034 eV/atom
raw total energy: -242.06 eV per cell

***

Entry 12:
VASP calculation (SCAN) on CoIr2Br at its PBEsol-relaxed geometry.

The structure in CIF format:
```
data_CoIr2Br
_chemical_formula_sum 'Co1 Ir2 Br1'
_space_group_name_H-M_alt 'P 4 m m'
_space_group_IT_number 99
_space_group_name_Hall 'P 4 -2'
_cell_length_a 2.7896
_cell_length_b 2.7896
_cell_length_c 7.5221
_cell_angle_alpha 90.00
_cell_angle_beta 90.00
_cell_angle_gamma 90.00
loop_
_atom_site_label
_atom_site_type_symbol
_atom_site_fract_x
_atom_site_fract_y
_atom_site_fract_z
Co1 Co 0.0000 0.0000 0.0000
Ir1 Ir 0.0000 0.0000 0.4628
Ir2 Ir 0.5000 0.5000 0.2260
Br1 Br 0.5000 0.5000 0.7700
```

Calculated values
energy above the most stable polymorph in this dataset: 0.548 eV per formula unit
raw formation energy: 0.752 eV/atom
raw total energy: -175.96 eV per cell

***

Entry 13:
VASP calculation (SCAN) on Co2IrBr at its PBEsol-relaxed geometry.

The structure in CIF format:
```
data_Co2IrBr
_chemical_formula_sum 'Co4 Ir2 Br2'
_space_group_name_H-M_alt 'I -4 m 2'
_space_group_IT_number 119
_space_group_name_Hall 'I -4 -2'
_cell_length_a 3.7512
_cell_length_b 3.7512
_cell_length_c 7.6565
_cell_angle_alpha 90.00
_cell_angle_beta 90.00
_cell_angle_gamma 90.00
loop_
_atom_site_label
_atom_site_type_symbol
_atom_site_fract_x
_atom_site_fract_y
_atom_site_fract_z
Co1 Co 0.0000 0.0000 0.0000
Co2 Co 0.0000 0.5000 0.2500
Ir1 Ir 0.0000 0.0000 0.5000
Br1 Br 0.0000 0.5000 0.7500
```

Calculated values
energy above the most stable polymorph in this dataset: 0.650 eV per formula unit
raw formation energy: 1.030 eV/atom
raw total energy: -242.09 eV per cell

***

Entry 14:
VASP calculation (SCAN) on Co2IrBr at its PBEsol-relaxed geometry.

The structure in CIF format:
```
data_Co2IrBr
_chemical_formula_sum 'Co2 Ir1 Br1'
_space_group_name_H-M_alt 'P 4/m m m'
_space_group_IT_number 123
_space_group_name_Hall '-P 4 2'
_cell_length_a 4.4301
_cell_length_b 4.4301
_cell_length_c 2.7514
_cell_angle_alpha 90.00
_cell_angle_beta 90.00
_cell_angle_gamma 90.00
loop_
_atom_site_label
_atom_site_type_symbol
_atom_site_fract_x
_atom_site_fract_y
_atom_site_fract_z
Co1 Co 0.0000 0.5000 0.0000
Ir1 Ir 0.0000 0.0000 0.5000
Br1 Br 0.5000 0.5000 0.5000
```

Calculated values
energy above the most stable polymorph in this dataset: 0.000 eV per formula unit
raw formation energy: 0.867 eV/atom
raw total energy: -121.70 eV per cell

***

Entry 15:
VASP calculation (SCAN) on CoIrBr2 at its PBEsol-relaxed geometry.

The structure in CIF format:
```
data_CoIrBr2
_chemical_formula_sum 'Co3 Ir3 Br6'
_space_group_name_H-M_alt 'R -3 m'
_space_group_IT_number 166
_space_group_name_Hall '-R 3 2"'
_cell_length_a 3.2791
_cell_length_b 3.2791
_cell_length_c 23.0311
_cell_angle_alpha 90.00
_cell_angle_beta 90.00
_cell_angle_gamma 120.00
loop_
_atom_site_label
_atom_site_type_symbol
_atom_site_fract_x
_atom_site_fract_y
_atom_site_fract_z
Co1 Co 0.0000 0.0000 0.0000
Ir1 Ir 0.0000 0.0000 0.5000
Br1 Br 0.0000 0.0000 0.3966
```

Calculated values
energy above the most stable polymorph in this dataset: 0.304 eV per formula unit
raw formation energy: 0.565 eV/atom
raw total energy: -375.18 eV per cell

***

Entry 16:
VASP calculation (SCAN) on CoIr2Br at its PBEsol-relaxed geometry.

The structure in CIF format:
```
data_CoIr2Br
_chemical_formula_sum 'Co2 Ir4 Br2'
_space_group_name_H-M_alt 'C 1 m 1'
_space_group_IT_number 8
_space_group_name_Hall 'C -2y'
_cell_length_a 8.3774
_cell_length_b 2.7865
_cell_length_c 7.5745
_cell_angle_alpha 90.00
_cell_angle_beta 123.49
_cell_angle_gamma 90.00
loop_
_atom_site_label
_atom_site_type_symbol
_atom_site_fract_x
_atom_site_fract_y
_atom_site_fract_z
Co1 Co 0.0000 0.0000 0.0000
Ir1 Ir 0.1062 0.5000 0.3196
Ir2 Ir 0.3055 0.5000 0.1704
Br1 Br 0.3337 0.0000 0.6892
```

Calculated values
energy above the most stable polymorph in this dataset: 0.000 eV per formula unit
raw formation energy: 0.615 eV/atom
raw total energy: -353.01 eV per cell

***

Entry 17:
VASP calculation (SCAN) on CoIr2Br at its PBEsol-relaxed geometry.

The structure in CIF format:
```
data_CoIr2Br
_chemical_formula_sum 'Co2 Ir4 Br2'
_space_group_name_H-M_alt 'I m m 2'
_space_group_IT_number 44
_space_group_name_Hall 'I 2 -2'
_cell_length_a 2.7665
_cell_length_b 4.5857
_cell_length_c 9.0124
_cell_angle_alpha 90.00
_cell_angle_beta 90.00
_cell_angle_gamma 90.00
loop_
_atom_site_label
_atom_site_type_symbol
_atom_site_fract_x
_atom_site_fract_y
_atom_site_fract_z
Co1 Co 0.0000 0.0000 0.0000
Ir1 Ir 0.0000 0.0000 0.5018
Ir2 Ir 0.0000 0.5000 0.7429
Br1 Br 0.0000 0.5000 0.2596
```

Calculated values
energy above the most stable polymorph in this dataset: 1.858 eV per formula unit
raw formation energy: 1.079 eV/atom
raw total energy: -349.29 eV per cell

***

Entry 18:
VASP calculation (SCAN) on Co3IrBr at its PBEsol-relaxed geometry.

The structure in CIF format:
```
data_Co3IrBr
_chemical_formula_sum 'Co3 Ir1 Br1'
_space_group_name_H-M_alt 'P m -3 m'
_space_group_IT_number 221
_space_group_name_Hall '-P 4 2 3'
_cell_length_a 4.1911
_cell_length_b 4.1911
_cell_length_c 4.1911
_cell_angle_alpha 90.00
_cell_angle_beta 90.00
_cell_angle_gamma 90.00
loop_
_atom_site_label
_atom_site_type_symbol
_atom_site_fract_x
_atom_site_fract_y
_atom_site_fract_z
Co1 Co 0.0000 0.0000 0.5000
Ir1 Ir 0.5000 0.5000 0.5000
Br1 Br 0.0000 0.0000 0.0000
```

Calculated values
raw formation energy: 1.486 eV/atom
raw total energy: -135.04 eV per cell

***

Entry 19:
VASP calculation (SCAN) on CoIr2Br at its PBEsol-relaxed geometry.

The structure in CIF format:
```
data_CoIr2Br
_chemical_formula_sum 'Co2 Ir4 Br2'
_space_group_name_H-M_alt 'I 4/m m m'
_space_group_IT_number 139
_space_group_name_Hall '-I 4 2'
_cell_length_a 3.9683
_cell_length_b 3.9683
_cell_length_c 7.2277
_cell_angle_alpha 90.00
_cell_angle_beta 90.00
_cell_angle_gamma 90.00
loop_
_atom_site_label
_atom_site_type_symbol
_atom_site_fract_x
_atom_site_fract_y
_atom_site_fract_z
Co1 Co 0.0000 0.0000 0.0000
Ir1 Ir 0.0000 0.5000 0.2500
Br1 Br 0.0000 0.0000 0.5000
```

Calculated values
energy above the most stable polymorph in this dataset: 2.092 eV per formula unit
raw formation energy: 1.138 eV/atom
raw total energy: -348.82 eV per cell

***

Entry 20:
VASP calculation (SCAN) on K2CoBr at its PBEsol-relaxed geometry.

The structure in CIF format:
```
data_K2CoBr
_chemical_formula_sum 'K8 Co4 Br4'
_space_group_name_H-M_alt 'F -4 3 m'
_space_group_IT_number 216
_space_group_name_Hall 'F -4 2 3'
_cell_length_a 7.8775
_cell_length_b 7.8775
_cell_length_c 7.8775
_cell_angle_alpha 90.00
_cell_angle_beta 90.00
_cell_angle_gamma 90.00
loop_
_atom_site_label
_atom_site_type_symbol
_atom_site_fract_x
_atom_site_fract_y
_atom_site_fract_z
K1 K 0.0000 0.0000 0.0000
K2 K 0.2500 0.2500 0.2500
Co1 Co 0.0000 0.0000 0.5000
Br1 Br 0.2500 0.2500 0.7500
```

Calculated values
energy above the most stable polymorph in this dataset: 1.454 eV per formula unit
raw formation energy: 0.166 eV/atom
raw total energy: -211.03 eV per cell